YRe2Cl: relaxed, PBE.

Geometry as POSCAR:
```
YRe2Cl
1.0
3.135 0.000 0.000
0.000 3.144 0.012
0.000 1.539 7.804
Cl Re Y
1 2 1
Direct
0.500 0.943 0.739
0.000 0.787 0.050
0.500 0.203 0.219
0.000 0.566 0.492
```

## Properties
* total magnetic moment: 0.0 μB/f.u.
* E_form (uncorrected): -0.1947 eV per atom
* electronic total energy: -33.99 eV/cell